# GGA+U Fe3O2F8, optimized geometry
data_Fe3O2F8
_chemical_formula_sum 'Fe3 O2 F8'
_cell_length_a 5.360
_cell_length_b 5.360
_cell_length_c 7.709
_cell_angle_alpha 68.35
_cell_angle_beta 68.35
_cell_angle_gamma 88.07
_symmetry_space_group_name_H-M 'P 1'
_symmetry_Int_Tables_number 1
loop_
_symmetry_equiv_pos_as_xyz
'x,y,z'
loop_
_atom_site_label
_atom_site_fract_x
_atom_site_fract_y
_atom_site_fract_z
F1 0.703 0.297 0.500
F2 0.297 0.703 0.500
F3 0.202 0.569 0.215
F4 0.166 0.166 0.576
F5 0.798 0.431 0.785
F6 0.569 0.202 0.215
F7 0.431 0.798 0.785
F8 0.834 0.834 0.424
Fe1 0.000 0.500 0.500
Fe2 0.500 0.500 0.000
Fe3 0.500 0.000 0.500
O1 0.761 0.761 0.008
O2 0.239 0.239 0.992
# **E**: -4.953 eV/atom